No. 1
DFT (GGA-PBEsol) results for an optimized crystal structure of Li2SbSO4F3.

Unit cell a=4.738 b=9.550 c=12.792 alpha=90.00 beta=90.00 gamma=90.00
Space group P2_12_12_1 (No. 19)
Unique sites:
Li  0.083  0.237  0.094 [4 per cell]
Li  0.179  0.510  0.725 [4 per cell]
Sb  0.119  0.534  0.980 [4 per cell]
S  0.154  0.815  0.172 [4 per cell]
O  0.005  0.837  0.070 [4 per cell]
O  0.041  0.332  0.239 [4 per cell]
O  0.121  0.074  0.680 [4 per cell]
O  0.216  0.324  0.668 [4 per cell]
F  0.123  0.853  0.510 [4 per cell]
F  0.145  0.582  0.582 [4 per cell]
F  0.187  0.585  0.373 [4 per cell]

Properties
N(E_F) in states/eV/f.u.: 0.000
Formation energy from raw total energies in meV per atom: -2084

=====

No. 2
DFT (GGA-PBEsol) results for an optimized crystal structure of CrFe2Tc.

Unit cell a=2.900 b=2.900 c=5.608 alpha=90.00 beta=90.00 gamma=90.00
Space group P4mm (No. 99)
Unique sites:
Cr  0.000  0.000  0.000 [1 per cell]
Fe  0.000  0.000  0.476 [1 per cell]
Fe  0.500  0.500  0.247 [1 per cell]
Tc  0.500  0.500  0.751 [1 per cell]

Properties
N(E_F) in states/eV/f.u.: 3.777
DFT formation energy in eV/atom: 0.0924

=====

No. 3
DFT (GGA-PBEsol) results for an optimized crystal structure of La3SiHg.

Unit cell a=5.594 b=5.594 c=5.594 alpha=90.00 beta=90.00 gamma=90.00
Space group Pm-3m (No. 221)
Unique sites:
La  0.000  0.000  0.500 [3 per cell]
Si  0.000  0.000  0.000 [1 per cell]
Hg  0.500  0.500  0.500 [1 per cell]

Properties
N(E_F) in states/eV/f.u.: 9.940
Formation energy from raw total energies in meV per atom: -83

=====

No. 4
DFT (GGA-PBEsol) results for an optimized crystal structure of CaAg2Au.

Unit cell a=4.200 b=4.200 c=8.615 alpha=90.00 beta=90.00 gamma=90.00
Space group I4/mmm (No. 139)
Unique sites:
Ca  0.000  0.000  0.000 [2 per cell]
Ag  0.000  0.500  0.250 [4 per cell]
Au  0.000  0.000  0.500 [2 per cell]

Properties
N(E_F) in states/eV/f.u.: 1.518
DFT formation energy in eV/atom: -0.3284

=====

No. 5
DFT (GGA-PBEsol) results for an optimized crystal structure of CuSbIr2.

Unit cell a=3.208 b=3.208 c=5.808 alpha=90.00 beta=90.00 gamma=90.00
Space group P4/mmm (No. 123)
Unique sites:
Cu  0.000  0.000  0.000 [1 per cell]
Sb  0.000  0.000  0.500 [1 per cell]
Ir  0.500  0.500  0.235 [2 per cell]

Properties
N(E_F) in states/eV/f.u.: 2.005
Formation energy from raw total energies in meV per atom: 185

=====

No. 6
DFT (GGA-PBEsol) results for an optimized crystal structure of Ca2TaTe.

Unit cell a=3.6027 b=3.6027 c=30.0767 alpha=90.00 beta=90.00 gamma=120.00
Space group R3m (No. 160, hexagonal axes)
Unique sites:
Ca  0.0000  0.0000  0.0000 [3 per cell]
Ca  0.0000  0.0000  0.2223 [3 per cell]
Ta  0.0000  0.0000  0.4735 [3 per cell]
Te  0.0000  0.0000  0.7464 [3 per cell]

Properties
N(E_F) in states/eV/f.u.: 4.233
Formation energy from raw total energies in meV per atom: 59

=====

Which of these has the highest N(E_F)?
La3SiHg

=====

Which formula does entry 4 have?
CaAg2Au

=====

Which value of N(E_F) does entry 6 give?
4.233 states/eV/f.u.

=====

Repeat the fifth record exactly.
DFT (GGA-PBEsol) results for an optimized crystal structure of CuSbIr2.

Unit cell a=3.208 b=3.208 c=5.808 alpha=90.00 beta=90.00 gamma=90.00
Space group P4/mmm (No. 123)
Unique sites:
Cu  0.000  0.000  0.000 [1 per cell]
Sb  0.000  0.000  0.500 [1 per cell]
Ir  0.500  0.500  0.235 [2 per cell]

Properties
N(E_F) in states/eV/f.u.: 2.005
Formation energy from raw total energies in meV per atom: 185